VASP calculation (PBE) on La3PmTl after structural relaxation.

Summary:
Spin magnetization = 0.00 μB per cell
E_form = -0.4 eV per formula unit
SG = No. 44
E above lowest polymorph = 77 meV per atom

Lattice parameters (Å, degrees): 6.4512 6.4512 6.4512 132.19 84.66 114.93
Last column: nearest neighbours and their distance in Å.
Positions (direct):
La 0.0000 0.0000 0.0000  1 Tl 3.18, 2 Pm 3.26, 2 La 3.45
La 0.5754 0.2742 0.3013  3 Tl 3.42-3.61, 4 La 3.45-3.79
La 0.9729 0.2742 0.6987  3 Tl 3.42-3.61, 4 La 3.45-3.79
Pm 0.2798 0.7798 0.5000  2 Tl 3.19, 2 La 3.26
Tl 0.5424 0.5424 0.0000  3 La 3.18-3.42, 2 Pm 3.19

---

VASP calculation (PBE) on SbPbSe2 after structural relaxation.

Summary:
Spin magnetization = 0.00 μB per cell
Formation energy from raw total energies = -269 meV per atom
SG = No. 99

Lattice parameters (Å, degrees): 4.3095 4.3095 6.1695 90.00 90.00 90.00
Last column: nearest neighbours and their distance in Å.
Positions (direct):
Sb 0.0000 0.0000 0.0000  5 Se 2.88-3.05
Pb 0.5000 0.5000 0.4959  6 Se 3.05-3.10
Se 0.0000 0.0000 0.4666  1 Sb 2.88, 4 Pb 3.05
Se 0.5000 0.5000 0.9935  4 Sb 3.05, 2 Pb 3.07-3.10

---

VASP calculation (PBE) on NaGdHoHg after structural relaxation.

Summary:
Spin magnetization = 7.88 μB per cell
E_form = -0.2 eV per formula unit
SG = No. 216

Lattice parameters (Å, degrees): 5.3543 5.3543 5.3543 60.00 60.00 60.00
Last column: nearest neighbours and their distance in Å.
Positions (direct):
Na 0.0000 0.0000 0.0000  4 Gd 3.28, 4 Ho 3.28
Gd 0.7500 0.7500 0.7500  4 Hg 3.28, 4 Na 3.28
Ho 0.2500 0.2500 0.2500  4 Hg 3.28, 4 Na 3.28
Hg 0.5000 0.5000 0.5000  4 Gd 3.28, 4 Ho 3.28

---

VASP calculation (PBE) on Sc3AlO after structural relaxation.

Summary:
Spin magnetization = 0.00 μB per cell
Formation energy from raw total energies = -1245 meV per atom
SG = No. 62

Lattice parameters (Å, degrees): 5.1954 12.4271 6.0853 90.00 90.00 90.00
Last column: nearest neighbours and their distance in Å.
Positions (direct):
Sc 0.0023 0.1191 0.0915  1 O 2.07
Sc 0.0023 0.3809 0.0915  1 O 2.07
Sc 0.0201 0.7500 0.4412  2 O 2.06-2.14
Sc 0.4799 0.2500 0.9412  2 O 2.06-2.14
Sc 0.4977 0.6191 0.5915  1 O 2.07
Sc 0.4977 0.8809 0.5915  1 O 2.07
Sc 0.5023 0.1191 0.4085  1 O 2.07
Sc 0.5023 0.3809 0.4085  1 O 2.07
Sc 0.5201 0.7500 0.0588  2 O 2.06-2.14
Sc 0.9799 0.2500 0.5588  2 O 2.06-2.14
Sc 0.9977 0.6191 0.9085  1 O 2.07
Sc 0.9977 0.8809 0.9085  1 O 2.07
Al 0.0000 0.0000 0.5000  8 Sc 2.89-3.13
Al 0.0000 0.5000 0.5000  8 Sc 2.89-3.13
Al 0.5000 0.0000 0.0000  8 Sc 2.89-3.13
Al 0.5000 0.5000 0.0000  8 Sc 2.89-3.13
O 0.0721 0.2500 0.8886  4 Sc 2.06-2.14
O 0.4279 0.7500 0.3886  4 Sc 2.06-2.14
O 0.5721 0.2500 0.6114  4 Sc 2.06-2.14
O 0.9279 0.7500 0.1114  4 Sc 2.06-2.14

---

VASP calculation (PBE) on P2S2N after structural relaxation.

Summary:
Spin magnetization = 1.40 μB per cell
Formation energy from raw total energies = 1989 meV per atom
SG = No. 123
E above lowest polymorph = 709 meV per atom

Lattice parameters (Å, degrees): 4.5886 4.5886 4.5438 90.00 90.00 90.00
Last column: nearest neighbours and their distance in Å.
Positions (direct):
P 0.0000 0.5000 0.0000  2 S 2.29
P 0.5000 0.0000 0.0000  2 S 2.29
S 0.0000 0.0000 0.0000  2 S 2.27, 4 P 2.29
S 0.0000 0.0000 0.5000  2 S 2.27
N 0.5000 0.5000 0.5000  8 P 3.23, 4 S 3.24

---

VASP calculation (PBE) on LaEr2Cd6 after structural relaxation.

Summary:
Spin magnetization = 0.00 μB per cell
E_form = -2.8 eV per formula unit
SG = No. 191

Lattice parameters (Å, degrees): 8.7053 8.7053 3.4381 90.00 90.00 120.00
Last column: nearest neighbours and their distance in Å.
Positions (direct):
La 0.0000 0.0000 0.0000  12 Cd 3.41, 2 La 3.44
Er 0.3333 0.6667 0.0000  12 Cd 3.36, 2 Er 3.44
Er 0.6667 0.3333 0.0000  12 Cd 3.36, 2 Er 3.44
Cd 0.0000 0.3380 0.5000  3 Cd 2.82-2.94
Cd 0.0000 0.6620 0.5000  3 Cd 2.82-2.94
Cd 0.3380 0.0000 0.5000  3 Cd 2.82-2.94
Cd 0.3380 0.3380 0.5000  3 Cd 2.82-2.94
Cd 0.6620 0.0000 0.5000  3 Cd 2.82-2.94
Cd 0.6620 0.6620 0.5000  3 Cd 2.82-2.94

---

VASP calculation (PBE) on RbRuCl2 after structural relaxation.

Summary:
Spin magnetization = 1.78 μB per cell
Formation energy from raw total energies = -347 meV per atom
SG = No. 122
E above lowest polymorph = 0 meV per atom

Lattice parameters (Å, degrees): 7.9357 7.9357 7.9357 134.97 134.97 65.57
Last column: nearest neighbours and their distance in Å.
Positions (direct):
Rb 0.0000 0.0000 0.0000  4 Cl 3.23
Rb 0.7500 0.2500 0.5000  4 Cl 3.23
Ru 0.2500 0.7500 0.5000  4 Cl 2.37
Ru 0.5000 0.5000 0.0000  4 Cl 2.37
Cl 0.2547 0.6250 0.1297  2 Ru 2.37
Cl 0.3750 0.5047 0.6297  2 Ru 2.37
Cl 0.4953 0.1250 0.8703  2 Ru 2.37
Cl 0.8750 0.7453 0.3703  2 Ru 2.37

---

VASP calculation (PBE) on MoIr2Os after structural relaxation.

Summary:
Spin magnetization = 0.00 μB per cell
E_form = -0.6 eV per formula unit
SG = No. 119
E above lowest polymorph = 88 meV per atom

Lattice parameters (Å, degrees): 4.7417 4.7417 4.7417 131.31 131.31 71.32
Last column: nearest neighbours and their distance in Å.
Positions (direct):
Mo 0.0000 0.0000 0.0000  4 Os 2.74, 8 Ir 2.74-2.76
Ir 0.2500 0.7500 0.5000  4 Mo 2.74, 4 Ir 2.74, 4 Os 2.76
Ir 0.5000 0.5000 0.0000  4 Os 2.74, 4 Ir 2.74, 4 Mo 2.76
Os 0.7500 0.2500 0.5000  4 Mo 2.74, 8 Ir 2.74-2.76

---

VASP calculation (PBE) on K2PuAs2O6 after structural relaxation.

Summary:
Spin magnetization = 4.00 μB per cell
Formation energy from raw total energies = -1921 meV per atom
SG = No. 12

Lattice parameters (Å, degrees): 5.9681 5.9681 7.0273 95.35 95.35 60.01
Last column: nearest neighbours and their distance in Å.
Positions (direct):
K 0.1797 0.1797 0.1903  9 O 2.96-3.10
K 0.8203 0.8203 0.8097  9 O 2.96-3.10
Pu 0.5000 0.5000 0.0000  6 O 2.22-2.23
As 0.1462 0.1462 0.7044  3 O 1.80
As 0.8538 0.8538 0.2956  3 O 1.80
O 0.1488 0.6881 0.1715  1 As 1.80
O 0.3115 0.3115 0.8146  1 As 1.80
O 0.3119 0.8512 0.8285  1 As 1.80
O 0.6881 0.1488 0.1715  1 As 1.80
O 0.6885 0.6885 0.1854  1 As 1.80
O 0.8512 0.3119 0.8285  1 As 1.80

---

VASP calculation (PBE) on CaLa4Al3O12 after structural relaxation.

Summary:
Spin magnetization = 0.00 μB per cell
Formation energy from raw total energies = -3046 meV per atom
SG = No. 229

Lattice parameters (Å, degrees): 6.7979 6.7979 6.7979 109.47 109.47 109.47
Last column: nearest neighbours and their distance in Å.
Positions (direct):
Ca 0.0000 0.0000 0.0000  6 O 2.13
La 0.0000 0.0000 0.5000  12 O 2.78
La 0.0000 0.5000 0.0000  12 O 2.78
La 0.5000 0.0000 0.0000  12 O 2.78
La 0.5000 0.5000 0.5000  12 O 2.78
Al 0.0000 0.5000 0.5000  6 O 1.79-1.96
Al 0.5000 0.0000 0.5000  6 O 1.79-1.96
Al 0.5000 0.5000 0.0000  6 O 1.79-1.96
O 0.0000 0.2720 0.2720  1 Al 1.79
O 0.0000 0.7280 0.7280  1 Al 1.79
O 0.2500 0.5000 0.7500  2 Al 1.96
O 0.2500 0.7500 0.5000  2 Al 1.96
O 0.2720 0.0000 0.2720  1 Al 1.79
O 0.2720 0.2720 0.0000  1 Al 1.79
O 0.5000 0.2500 0.7500  2 Al 1.96
O 0.5000 0.7500 0.2500  2 Al 1.96
O 0.7280 0.0000 0.7280  1 Al 1.79
O 0.7280 0.7280 0.0000  1 Al 1.79
O 0.7500 0.2500 0.5000  2 Al 1.96
O 0.7500 0.5000 0.2500  2 Al 1.96

---

VASP calculation (PBE) on LiCr2Ru after structural relaxation.

Summary:
Spin magnetization = 2.19 μB per cell
E_form = 0.8 eV per formula unit
SG = No. 119

Lattice parameters (Å, degrees): 4.1377 4.1377 4.1377 119.94 119.94 90.10
Last column: nearest neighbours and their distance in Å.
Positions (direct):
Li 0.0000 0.0000 0.0000  4 Cr 2.53, 4 Ru 2.53
Cr 0.5000 0.5000 0.0000  4 Cr 2.53, 4 Ru 2.53
Cr 0.7500 0.2500 0.5000  4 Cr 2.53, 4 Li 2.53
Ru 0.2500 0.7500 0.5000  4 Cr 2.53, 4 Li 2.53

---

VASP calculation (PBE) on Zr3CdN after structural relaxation.

Summary:
Spin magnetization = 0.00 μB per cell
Formation energy from raw total energies = -726 meV per atom
SG = No. 15

Lattice parameters (Å, degrees): 8.3421 8.3421 5.6275 90.46 90.46 102.74
Last column: nearest neighbours and their distance in Å.
Positions (direct):
Zr 0.0472 0.1837 0.0862  3 N 2.23-2.31
Zr 0.0628 0.6863 0.4133  2 N 2.27-2.29
Zr 0.1837 0.0472 0.5862  3 N 2.23-2.31
Zr 0.1894 0.5641 0.9348  1 N 2.25
Zr 0.3137 0.9372 0.0867  2 N 2.27-2.29
Zr 0.4359 0.8106 0.5652  1 N 2.25
Zr 0.5641 0.1894 0.4348  1 N 2.25
Zr 0.6863 0.0628 0.9133  2 N 2.27-2.29
Zr 0.8106 0.4359 0.0652  1 N 2.25
Zr 0.8163 0.9528 0.4138  3 N 2.23-2.31
Zr 0.9372 0.3137 0.5867  2 N 2.27-2.29
Zr 0.9528 0.8163 0.9138  3 N 2.23-2.31
Cd 0.3049 0.4245 0.4381  8 Zr 3.12-3.29, 3 Cd 3.22-3.29
Cd 0.4245 0.3049 0.9381  8 Zr 3.12-3.29, 3 Cd 3.22-3.29
Cd 0.5755 0.6951 0.0619  8 Zr 3.12-3.29, 3 Cd 3.22-3.29
Cd 0.6951 0.5755 0.5619  8 Zr 3.12-3.29, 3 Cd 3.22-3.29
N 0.0648 0.9352 0.2500  6 Zr 2.23-2.31
N 0.1960 0.8040 0.7500  6 Zr 2.25-2.29
N 0.8040 0.1960 0.2500  6 Zr 2.25-2.29
N 0.9352 0.0648 0.7500  6 Zr 2.23-2.31